Density functional theory data (GGA-PBE) for an optimized crystal structure of NaAgBiPd.

Cell lengths 5.008, 5.008, 5.575 Å; angles 90.06, 90.06, 57.58 degrees
Positions (direct):
Na: 0.000 0.000 0.000
Ag: 0.868 0.868 0.500
Bi: 0.204 0.204 0.500
Pd: 0.538 0.538 0.501

## Properties
ΔH_f (0 K) (eV per atom): -0.0288
Fermi-level density of states (states/eV per cell): 2.904

=====

Density functional theory data (GGA-PBE) for an optimized crystal structure of BaMn2Be.

Cell lengths 7.417, 7.417, 7.417 Å; angles 154.44, 151.22, 38.87 degrees
Positions (direct):
Ba: 0.000 0.000 0.000
Mn: 0.333 0.333 0.000
Mn: 0.702 0.202 0.500
Be: 0.212 0.712 0.500

## Properties
ΔH_f (0 K) (eV per atom): 0.7044
Fermi-level density of states (states/eV per cell): 4.191

=====

Density functional theory data (GGA-PBE) for an optimized crystal structure of Pr3DySe4.

Cell lengths 7.375, 8.366, 7.296 Å; angles 90.00, 109.22, 90.00 degrees
Positions (direct):
Pr: 0.000 0.122 0.250
Pr: 0.000 0.373 0.750
Pr: 0.000 0.627 0.250
Pr: 0.000 0.878 0.750
Pr: 0.500 0.124 0.750
Pr: 0.500 0.876 0.250
Dy: 0.500 0.373 0.250
Dy: 0.500 0.627 0.750
Se: 0.256 0.132 0.007
Se: 0.256 0.868 0.507
Se: 0.262 0.381 0.500
Se: 0.262 0.619 0.000
Se: 0.738 0.381 0.000
Se: 0.738 0.619 0.500
Se: 0.744 0.132 0.493
Se: 0.744 0.868 0.993

## Properties
Raw formation energy (eV/atom): -1.820
Fermi-level density of states (states/eV per cell): 7.632

=====

Density functional theory data (GGA-PBE) for an optimized crystal structure of Na4Sc3UTe8.

Cell lengths 9.038, 9.038, 9.038 Å; angles 56.66, 56.66, 56.66 degrees
Positions (direct):
Na: 0.000 0.000 0.000
Na: 0.000 0.500 0.500
Na: 0.500 0.000 0.500
Na: 0.500 0.500 0.000
Sc: 0.000 0.000 0.500
Sc: 0.000 0.500 0.000
Sc: 0.500 0.000 0.000
U: 0.500 0.500 0.500
Te: 0.230 0.748 0.748
Te: 0.240 0.240 0.240
Te: 0.252 0.252 0.770
Te: 0.252 0.770 0.252
Te: 0.748 0.230 0.748
Te: 0.748 0.748 0.230
Te: 0.760 0.760 0.760
Te: 0.770 0.252 0.252

## Properties
Raw formation energy (eV/atom): -1.073
Fermi-level density of states (states/eV per cell): 9.673

=====

Density functional theory data (GGA-PBE) for an optimized crystal structure of SrBTe2.

Cell lengths 6.765, 6.765, 6.765 Å; angles 115.31, 115.31, 98.34 degrees
Positions (direct):
Sr: 0.000 0.000 0.000
Sr: 0.750 0.250 0.500
B: 0.250 0.750 0.500
B: 0.500 0.500 0.000
Te: 0.231 0.625 0.106
Te: 0.375 0.481 0.606
Te: 0.519 0.125 0.894
Te: 0.875 0.769 0.394

## Properties
Raw formation energy (eV/atom): -0.175
Fermi-level density of states (states/eV per cell): 4.934

=====

Density functional theory data (GGA-PBE) for an optimized crystal structure of Sr2PrP.

Cell lengths 11.499, 11.499, 11.499 Å; angles 20.80, 20.80, 20.80 degrees
Positions (direct):
Sr: 0.117 0.117 0.117
Sr: 0.883 0.883 0.883
Pr: 0.000 0.000 0.000
P: 0.500 0.500 0.500

## Properties
ΔH_f (0 K) (eV per atom): -0.3124
Fermi-level density of states (states/eV per cell): 3.930

=====

Density functional theory data (GGA-PBE) for an optimized crystal structure of BeCd2Cl.

Cell lengths 3.122, 3.210, 7.738 Å; angles 90.00, 90.09, 90.00 degrees
Positions (direct):
Be: 0.000 0.000 0.000
Cd: 0.497 0.500 0.793
Cd: 0.503 0.500 0.207
Cl: 0.500 0.000 0.500

## Properties
Raw formation energy (eV/atom): 0.008
Fermi-level density of states (states/eV per cell): 0.882

=====

Density functional theory data (GGA-PBE) for an optimized crystal structure of Ta2MoW.

Cell lengths 4.574, 4.574, 3.238 Å; angles 90.00, 90.00, 90.00 degrees
Positions (direct):
Ta: 0.000 0.500 0.000
Ta: 0.500 0.000 0.000
Mo: 0.000 0.000 0.500
W: 0.500 0.500 0.500

## Properties
ΔH_f (0 K) (eV per atom): -0.1529
Fermi-level density of states (states/eV per cell): 3.124

=====

Density functional theory data (GGA-PBE) for an optimized crystal structure of Pm2HfAl4Au3.

Cell lengths 4.300, 4.300, 11.391 Å; angles 90.00, 90.00, 90.00 degrees
Positions (direct):
Pm: 0.000 0.500 0.246
Pm: 0.500 0.000 0.754
Hf: 0.000 0.000 0.500
Al: 0.000 0.000 0.000
Al: 0.000 0.500 0.653
Al: 0.500 0.000 0.347
Al: 0.500 0.500 0.000
Au: 0.000 0.500 0.873
Au: 0.500 0.000 0.127
Au: 0.500 0.500 0.500

## Properties
ΔH_f (0 K) (eV per atom): -0.6089
Fermi-level density of states (states/eV per cell): 6.324

=====

Density functional theory data (GGA-PBE) for an optimized crystal structure of K4Tb3RhO8.

Cell lengths 7.372, 7.372, 7.372 Å; angles 55.20, 55.20, 55.20 degrees
Positions (direct):
K: 0.000 0.000 0.000
K: 0.000 0.500 0.500
K: 0.500 0.000 0.500
K: 0.500 0.500 0.000
Tb: 0.000 0.000 0.500
Tb: 0.000 0.500 0.000
Tb: 0.500 0.000 0.000
Rh: 0.500 0.500 0.500
O: 0.229 0.229 0.229
O: 0.241 0.723 0.723
O: 0.277 0.277 0.759
O: 0.277 0.759 0.277
O: 0.723 0.241 0.723
O: 0.723 0.723 0.241
O: 0.759 0.277 0.277
O: 0.771 0.771 0.771

## Properties
Raw formation energy (eV/atom): -2.262

=====

Density functional theory data (GGA-PBE) for an optimized crystal structure of Na3Nd2RhO6.

Cell lengths 5.887, 5.887, 5.955 Å; angles 98.94, 98.94, 120.14 degrees
Positions (direct):
Na: 0.000 0.000 0.000
Na: 0.353 0.647 0.000
Na: 0.647 0.353 0.000
Nd: 0.168 0.832 0.500
Nd: 0.832 0.168 0.500
Rh: 0.500 0.500 0.500
O: 0.124 0.429 0.281
O: 0.259 0.259 0.713
O: 0.429 0.124 0.281
O: 0.571 0.876 0.719
O: 0.741 0.741 0.287
O: 0.876 0.571 0.719

## Properties
Raw formation energy (eV/atom): -2.048

=====

Density functional theory data (GGA-PBE) for an optimized crystal structure of Np2Ni2PbS6.

Cell lengths 6.939, 7.081, 7.081 Å; angles 89.49, 61.93, 61.02 degrees
Positions (direct):
Np: 0.155 0.017 0.174
Np: 0.845 0.983 0.826
Ni: 0.368 0.442 0.163
Ni: 0.632 0.558 0.837
Pb: 0.500 0.000 0.500
S: 0.031 0.754 0.419
S: 0.298 0.759 0.804
S: 0.351 0.246 0.938
S: 0.649 0.754 0.062
S: 0.702 0.241 0.196
S: 0.969 0.246 0.581

## Properties
Raw formation energy (eV/atom): -0.806
Fermi-level density of states (states/eV per cell): 21.981

=====

no.,volume (Å³ per atom),energy (eV for the cell shown)
1,29.5,-13.36
2,21.2,-21.17
3,26.6,-94.88
4,30.1,-77.85
5,29.0,-30.69
6,42.0,-14.80
7,19.4,-7.37
8,16.9,-48.10
9,21.1,-50.35
10,15.7,-101.49
11,14.1,-75.17
12,23.4,-74.78